1.
Material: RuRhW
Method: DFT, GGA-PBE
State: relaxed

Results
The energy above the lowest structure with this stoichiometry is 73 meV per atom. The formation energy is -0.01 eV per atom. As for the energy: -0.7253 Ry/atom. For the density, the calculation gives 14.53 g/cm³.

Structure (CIF):
```
data_RuRhW
_chemical_formula_sum 'Ru2 Rh2 W2'
_cell_length_a 2.761
_cell_length_b 2.761
_cell_length_c 11.630
_cell_angle_alpha 90.00
_cell_angle_beta 90.00
_cell_angle_gamma 90.00
_space_group_name_H-M_alt 'I 4 m m'
_space_group_IT_number 107
_space_group_name_Hall 'I 4 -2'
loop_
_atom_site_label
_atom_site_fract_x
_atom_site_fract_y
_atom_site_fract_z
Ru1 0.000 0.000 0.000
Rh1 0.000 0.000 0.330
W1 0.000 0.000 0.663
```

***

2.
Material: Cu2Sn2Pb
Method: DFT, GGA-PBE
State: relaxed

Results
The energy above the lowest structure with this stoichiometry is 0 meV per atom. The formation energy is 0.14 eV per atom. As for the energy: -0.2821 Ry/atom. For the density, the calculation gives 8.79 g/cm³.

Structure (CIF):
```
data_Cu2Sn2Pb
_chemical_formula_sum 'Cu4 Sn4 Pb2'
_cell_length_a 7.868
_cell_length_b 7.868
_cell_length_c 3.488
_cell_angle_alpha 90.00
_cell_angle_beta 90.00
_cell_angle_gamma 90.00
_space_group_name_H-M_alt 'P 4/m b m'
_space_group_IT_number 127
_space_group_name_Hall '-P 4 2ab'
loop_
_atom_site_label
_atom_site_fract_x
_atom_site_fract_y
_atom_site_fract_z
Cu1 0.117 0.383 0.000
Sn1 0.168 0.668 0.500
Pb1 0.000 0.000 0.000
```

***

3.
Material: Ge2BiSe
Method: DFT, GGA-PBE
State: relaxed

Results
The energy above the lowest structure with this stoichiometry is 73 meV per atom. As for the energy: -0.2843 Ry/atom. For the density, the calculation gives 7.73 g/cm³. Its formation energy without anion corrections is 27.1 kJ per mole of atoms.

Structure (CIF):
```
data_Ge2BiSe
_chemical_formula_sum 'Ge8 Bi4 Se4'
_cell_length_a 7.195
_cell_length_b 7.195
_cell_length_c 7.195
_cell_angle_alpha 90.00
_cell_angle_beta 90.00
_cell_angle_gamma 90.00
_space_group_name_H-M_alt 'F m -3 m'
_space_group_IT_number 225
_space_group_name_Hall '-F 4 2 3'
loop_
_atom_site_label
_atom_site_fract_x
_atom_site_fract_y
_atom_site_fract_z
Ge1 0.250 0.250 0.250
Bi1 0.000 0.000 0.000
Se1 0.000 0.000 0.500
```

***

4.
Material: AsP4Rh
Method: DFT, GGA-PBE
State: relaxed

Results
The formation energy is 0.75 eV per atom. As for the energy: -0.3570 Ry/atom. For the density, the calculation gives 5.46 g/cm³.

Structure (CIF):
```
data_AsP4Rh
_chemical_formula_sum 'As4 P16 Rh4'
_cell_length_a 7.162
_cell_length_b 7.162
_cell_length_c 7.162
_cell_angle_alpha 90.00
_cell_angle_beta 90.00
_cell_angle_gamma 90.00
_space_group_name_H-M_alt 'F -4 3 m'
_space_group_IT_number 216
_space_group_name_Hall 'F -4 2 3'
loop_
_atom_site_label
_atom_site_fract_x
_atom_site_fract_y
_atom_site_fract_z
As1 0.000 0.000 0.000
P1 0.127 0.127 0.627
Rh1 0.250 0.250 0.250
```

***

Q: What is the energy in the third record?
A: -0.2843 Ry/atom